(1)
Be3GaCo4: relaxed, GGA-PBE.

Cell lengths 3.769, 3.769, 5.404 Å; angles 90.00, 90.00, 90.00 degrees
Element x y z (fractional)
Be (0.000, 0.000, 0.000)
Be (0.000, 0.000, 0.500)
Be (0.500, 0.500, 0.000)
Ga (0.500, 0.500, 0.500)
Co (0.000, 0.500, 0.233)
Co (0.000, 0.500, 0.767)
Co (0.500, 0.000, 0.233)
Co (0.500, 0.000, 0.767)

Properties
Total magnetic moment   0.61 μB per formula unit

---

(2)
Be3GaCo: relaxed, GGA-PBE.

Cell lengths 3.975, 3.975, 3.975 Å; angles 90.00, 90.00, 90.00 degrees
Element x y z (fractional)
Be (0.000, 0.000, 0.500)
Be (0.000, 0.500, 0.000)
Be (0.500, 0.000, 0.000)
Ga (0.500, 0.500, 0.500)
Co (0.000, 0.000, 0.000)

Properties
Energy relative to the lowest polymorph listed for this composition   0.000 eV/atom
Total magnetic moment   0.00 μB per formula unit

---

Number 1: mass density 7.190 g/cm3, electronic total energy -5.610 eV per atom, formation enthalpy at 0 K -0.28 eV/atom. Number 2: mass density 4.116 g/cm3, electronic total energy -3.781 eV per atom, formation enthalpy at 0 K 0.48 eV/atom.